A relaxed structure of NdDy2Al, computed with PBE-GGA.

Cell and atoms, written as extended XYZ:
```
4
Lattice="-2.512 -2.082 -1.526 0.869 -2.138 -2.765 1.794 -9.167 5.305" Properties=species:S:1:pos:R:3 pbc="T T T"
Al -1.093 -2.820 -2.854
Dy -0.048 -3.063 0.007
Dy 1.293 -7.507 3.864
Nd 0.075 -6.689 0.504
```

Results
* crystal system: trigonal
* calculated formation energy: -0.068 eV per atom
* symmetry: No. 160
* E: -17.99 eV for the cell shown


A relaxed structure of Na2MgSnAu6, computed with PBE-GGA.

Cell and atoms, written as extended XYZ:
```
10
Lattice="-4.817 -2.146 -5.118 1.314 -7.025 1.709 -5.564 -4.441 1.823" Properties=species:S:1:pos:R:3 pbc="T T T"
Au -2.605 -6.821 -2.536
Sn 0.000 0.000 0.000
Au -3.246 -3.396 -3.369
Au -5.456 -9.097 -1.601
Au -0.257 -5.775 -0.040
Mg -1.751 -4.585 -1.704
Na -6.066 -5.586 -2.500
Na -3.001 -8.026 0.914
Au -0.897 -2.350 -0.873
Au -3.610 -4.515 0.016
```

Results
* crystal system: cubic
* calculated formation energy: 0.054 eV per atom
* symmetry: No. 225
* E: -27.36 eV for the cell shown


A relaxed structure of CaAgOs2, computed with PBE-GGA.

Cell and atoms, written as extended XYZ:
```
4
Lattice="2.667 0.000 0.000 0.000 4.692 0.000 0.000 0.000 5.801" Properties=species:S:1:pos:R:3 pbc="T T T"
Ag 1.333 2.346 1.450
Os 0.000 0.000 0.237
Ca 1.333 2.346 4.351
Os 0.000 0.000 2.664
```

Results
* crystal system: orthorhombic
* calculated formation energy: 0.741 eV per atom
* symmetry: No. 47
* E: -24.35 eV for the cell shown


A relaxed structure of Cu24Au5, computed with PBE-GGA.

Cell and atoms, written as extended XYZ:
```
29
Lattice="-0.399 -7.871 -0.564 7.571 2.237 0.328 -3.730 2.363 6.552" Properties=species:S:1:pos:R:3 pbc="T T T"
Cu 4.163 -0.154 2.171
Cu 2.789 -0.661 0.016
Cu 5.101 -4.113 1.034
Au 4.780 1.412 0.207
Cu -1.488 -0.613 2.372
Cu -0.392 -0.103 4.680
Au 1.269 -1.206 2.328
Cu -1.923 -4.035 4.902
Cu 1.425 -1.580 5.180
Cu 2.063 -3.540 3.817
Cu 2.781 -4.428 -0.250
Cu 2.151 1.299 1.379
Cu -0.390 -2.675 3.664
Cu -2.687 -1.572 4.209
Cu 3.259 -2.715 1.655
Cu 0.526 2.502 4.569
Cu -1.774 -4.377 2.259
Cu 2.183 0.588 3.952
Cu 0.950 -4.228 1.811
Cu 3.030 2.247 5.456
Cu 4.966 -1.658 -0.006
Cu -0.865 -2.526 1.041
Cu 0.038 1.323 2.543
Cu 3.623 2.467 2.863
Cu 1.299 -2.551 -0.151
Au 0.000 0.000 0.000
Au -0.252 -4.969 -0.356
Au -2.355 1.492 4.137
Cu 3.589 -1.605 3.988
```

Results
* crystal system: cubic
* calculated formation energy: 0.023 eV per atom
* symmetry: No. 217
* E: -114.02 eV for the cell shown